Record 1
Hf3TaGa4: relaxed, GGA-PBE.

Lattice parameters (Å, degrees): 3.0518 5.9558 16.6898 90.00 90.00 90.00
Space group Immm (No. 71)
Asymmetric unit:
Hf1 0.0000 0.0000 0.0000 [2 per cell]
Hf2 0.0000 0.5000 0.2233 [4 per cell]
Ta1 0.0000 0.0000 0.5000 [2 per cell]
Ga1 0.0000 0.2841 0.3747 [8 per cell]

Properties
VASP energy (eV per atom): -6.91
Spin magnetization (μB/atom): 0.00
Energy relative to the elements (eV per atom): -0.1850

Record 2
Hf2TaGa: relaxed, GGA-PBE.

Lattice parameters (Å, degrees): 3.4522 3.4522 6.5122 90.00 90.00 90.00
Space group P4/mmm (No. 123)
Asymmetric unit:
Hf1 0.0000 0.0000 0.2482 [2 per cell]
Ta1 0.5000 0.5000 0.5000 [1 per cell]
Ga1 0.5000 0.5000 0.0000 [1 per cell]

Properties
VASP energy (eV per atom): -8.90
Spin magnetization (μB/atom): 0.00
Energy relative to the elements (eV per atom): -0.2084

Record 3
Hf8TaGa2: relaxed, GGA-PBE.

Lattice parameters (Å, degrees): 7.8509 12.8384 5.0769 90.00 113.39 90.00
Space group C2/m (No. 12)
Asymmetric unit:
Hf1 0.0000 0.2188 0.0000 [4 per cell]
Hf2 0.1074 0.5000 0.8070 [4 per cell]
Hf3 0.2053 0.1144 0.6064 [8 per cell]
Ta1 0.0000 0.0000 0.0000 [2 per cell]
Ga1 0.0000 0.3038 0.5000 [4 per cell]

Properties
VASP energy (eV per atom): -8.88
Spin magnetization (μB/atom): 0.00
Energy relative to the elements (eV per atom): -0.0138

Record 4
HfTa2Ga2: relaxed, GGA-PBE.

Lattice parameters (Å, degrees): 3.8914 3.8914 12.1392 90.00 90.00 90.00
Space group I4/mmm (No. 139)
Asymmetric unit:
Hf1 0.0000 0.0000 0.0000 [2 per cell]
Ta1 0.0000 0.5000 0.2500 [4 per cell]
Ga1 0.0000 0.0000 0.4039 [4 per cell]

Properties
Distance to the lowest polymorph of the same formula (meV per atom): 113
VASP energy (eV per atom): -8.14
Spin magnetization (μB/atom): 0.00
Energy relative to the elements (eV per atom): -0.1940